Entry 1:
Entry from Alexandria: crystalline SmScZn2Pt2 at its relaxed geometry (PBE-GGA).

Summary:
* calculated total energy: -5.16 eV per atom
* total magnetic moment: 0.00 μB per atom

POSCAR file:
```
SmScZn2Pt2
1.0
-3.783 1.384 1.898
0.050 -3.761 -2.384
1.493 -3.470 5.507
Zn Pt Sm Sc
2 2 1 1
direct
0.667 0.333 0.710 Zn
0.333 0.667 0.290 Zn
0.667 0.333 0.283 Pt
0.333 0.667 0.717 Pt
0.000 0.000 0.000 Sm
0.000 0.000 0.500 Sc
```

Entry 2:
Entry from Alexandria: crystalline Li2GeAu at its relaxed geometry (PBE-GGA).

Summary:
* calculated total energy: -3.10 eV per atom
* total magnetic moment: 0.00 μB per atom

POSCAR file:
```
Li2GeAu
1.0
7.221 0.000 0.000
0.000 7.221 0.000
3.611 3.611 2.689
Ge Li Au
2 4 2
direct
0.250 0.750 0.500 Ge
0.500 0.500 0.000 Ge
0.875 0.884 0.750 Li
0.116 0.625 0.250 Li
0.375 0.366 0.750 Li
0.634 0.125 0.250 Li
0.750 0.250 0.500 Au
0.000 0.000 0.000 Au
```

Entry 3:
Entry from Alexandria: crystalline SrLi4In5 at its relaxed geometry (PBE-GGA).

Summary:
* calculated total energy: -2.59 eV per atom
* total magnetic moment: 0.00 μB per atom

POSCAR file:
```
SrLi4In5
1.0
3.421 0.000 0.000
0.000 3.697 0.000
0.000 0.000 17.580
In Li Sr
5 4 1
direct
0.500 0.500 0.683 In
0.500 0.500 0.863 In
0.500 0.500 0.500 In
0.500 0.500 0.137 In
0.500 0.500 0.317 In
0.000 0.000 0.592 Li
0.000 0.000 0.408 Li
0.000 0.000 0.227 Li
0.000 0.000 0.773 Li
0.000 0.000 0.000 Sr
```

Entry 4:
Entry from Alexandria: crystalline AcYAu2 at its relaxed geometry (PBE-GGA).

Summary:
* E above lowest polymorph: 0.00 kJ per mole of atoms
* total magnetic moment: 0.00 μB per atom

POSCAR file:
```
AcYAu2
1.0
4.823 0.000 0.000
0.000 5.697 -1.686
0.000 0.045 7.976
Ac Y Au
2 2 4
direct
0.750 0.725 0.930 Ac
0.250 0.275 0.070 Ac
0.250 0.273 0.561 Y
0.750 0.727 0.439 Y
0.250 0.834 0.236 Au
0.750 0.185 0.321 Au
0.250 0.815 0.679 Au
0.750 0.166 0.764 Au
```

Number 4 is which compound? AcYAu2

What is the formula in the fourth record? AcYAu2

Number 4 is which compound? AcYAu2